[1]
First-principles (PBE) data for a relaxed Cr4Re crystal, as listed in the Alexandria database.

a = 4.6799 Å, b = 4.6799 Å, c = 4.6799 Å
α = 90.00°, β = 90.00°, γ = 90.00°
Fractional positions:
Re 0.5000 0.5000 0.5000
Cr 0.0000 0.0000 0.0000
Cr 0.5000 0.0000 0.5000
Cr 0.0000 0.5000 0.5000
Cr 0.5000 0.5000 0.0000

Calculated values
DOS(E_F)   5.13 states/eV per cell
Formation enthalpy at 0 K   1.62 eV per atom
E above lowest polymorph   1613.9 meV/atom
SG   Pm-3m (221)

---

[2]
First-principles (PBE) data for a relaxed CaNdEr4 crystal, as listed in the Alexandria database.

a = 6.6407 Å, b = 6.6407 Å, c = 6.6407 Å
α = 60.00°, β = 60.00°, γ = 60.00°
Fractional positions:
Ca 0.2500 0.2500 0.2500
Nd 0.0000 0.0000 0.0000
Er 0.6262 0.6262 0.1215
Er 0.6262 0.1215 0.6262
Er 0.6262 0.6262 0.6262
Er 0.1215 0.6262 0.6262

Calculated values
DOS(E_F)   8.27 states/eV per cell
Formation enthalpy at 0 K   0.22 eV per atom
SG   F-43m (216)

---

Number 1: total magnetization 2.613 μB per atom. Number 2: total magnetization 0.000 μB per atom.